Entry 1:
Here is a relaxed CsCaBr3 crystal from Alexandria via LeMat-Bulk. Energies are from PBE.

Computed properties:
ΔE_f (raw) = -1.824 eV per atom
SG = No. 38
volume = 224.63 Å³/f.u.

Geometry as POSCAR:
```
CsCaBr3
1.0
4.320 0.000 0.000
0.000 5.357 -4.853
0.000 5.357 4.853
Cs Ca Br
1 1 3
Direct
0.500 0.104 0.896 Cs
0.000 0.659 0.341 Ca
0.500 0.573 0.087 Br
0.500 0.913 0.427 Br
0.000 0.379 0.621 Br
```



Entry 2:
Here is a relaxed CsCaBr3 crystal from Alexandria via LeMat-Bulk. Energies are from PBE.

Computed properties:
ΔE_f (raw) = -1.909 eV per atom
SG = No. 227
volume = 216.49 Å³/f.u.

Geometry as POSCAR:
```
CsCaBr3
1.0
7.565 7.565 0.000
0.000 7.565 7.565
7.565 0.000 7.565
Cs Ca Br
4 4 12
Direct
0.625 0.625 0.625 Cs
0.625 0.625 0.125 Cs
0.625 0.125 0.625 Cs
0.125 0.625 0.625 Cs
0.125 0.125 0.125 Ca
0.125 0.125 0.625 Ca
0.125 0.625 0.125 Ca
0.625 0.125 0.125 Ca
0.204 0.796 0.204 Br
0.454 0.046 0.454 Br
0.046 0.454 0.454 Br
0.046 0.454 0.046 Br
0.046 0.046 0.454 Br
0.796 0.796 0.204 Br
0.454 0.454 0.046 Br
0.454 0.046 0.046 Br
0.204 0.204 0.796 Br
0.796 0.204 0.796 Br
0.796 0.204 0.204 Br
0.204 0.796 0.796 Br
```



Entry 3:
Here is a relaxed CsCaBr3 crystal from Alexandria via LeMat-Bulk. Energies are from PBE.

Computed properties:
ΔE_f (raw) = -1.237 eV per atom
SG = No. 119
volume = 242.35 Å³/f.u.

Geometry as POSCAR:
```
CsCaBr3
1.0
6.029 0.000 0.000
0.000 6.029 0.000
3.014 3.014 13.337
Cs Ca Br
2 2 6
Direct
0.000 0.000 0.000 Cs
0.250 0.750 0.500 Cs
0.644 0.144 0.711 Ca
0.856 0.356 0.289 Ca
0.632 0.881 0.237 Br
0.119 0.368 0.763 Br
0.119 0.869 0.763 Br
0.131 0.881 0.237 Br
0.317 0.317 0.366 Br
0.683 0.683 0.634 Br
```